# 1
3
Lattice="4.4713 0.0000 0.0000 -2.2357 3.8723 0.0000 0.0000 0.0000 3.4286" Properties=species:S:1:pos:R:3 comment="HoZnPd PBE-GGA relaxed" spacegroup=P-6m2 e_form_mev_per_atom=-679 pbc="T T T"
Ho 0.0000 0.0000 0.0000
Zn 0.0000 2.5815 1.7143
Pd 2.2357 1.2908 1.7143

=====

# 2
4
Lattice="3.0861 -5.5364 0.0000 3.0861 5.5364 0.0000 -1.6000 0.0000 3.0409" Properties=species:S:1:pos:R:3 comment="CaCd2Hg PBE-GGA relaxed" spacegroup=C2/m e_form_mev_per_atom=-165 pbc="T T T"
Ca 0.0000 0.0000 0.0000
Cd 0.7430 2.7682 1.5204
Cd 0.7430 -2.7682 1.5204
Hg 3.0861 0.0000 0.0000

=====

# 3
4
Lattice="4.0411 0.0000 0.0000 0.0000 4.0411 0.0000 0.0000 0.0000 10.4678" Properties=species:S:1:pos:R:3 comment="Ba2CaZn PBE-GGA relaxed" spacegroup=P4mm e_form_mev_per_atom=-67 pbc="T T T"
Ba 0.0000 0.0000 0.0000
Ba 2.0206 2.0206 3.6653
Ca 0.0000 0.0000 6.7973
Zn 2.0206 2.0206 8.3369

=====

# 4
8
Lattice="-2.8858 3.9238 7.8365 2.8858 -3.9238 7.8365 2.8858 3.9238 -7.8365" Properties=species:S:1:pos:R:3 comment="Rb3Hg4Sb PBE-GGA relaxed" spacegroup=Immm raw_formation_energy_ev_per_atom=-0.20 pbc="T T T"
Rb 0.0000 0.0000 0.0000
Rb 2.8858 0.0000 5.2526
Rb 0.0000 3.9238 2.5840
Hg 2.8858 1.5359 -1.8863
Hg 2.8858 1.5359 1.8863
Hg 0.0000 2.3880 5.9502
Hg 0.0000 2.3880 9.7228
Sb 0.0000 0.0000 7.8365

=====

# 5
4
Lattice="0.0000 3.5203 3.5203 3.5203 0.0000 3.5203 3.5203 3.5203 0.0000" Properties=species:S:1:pos:R:3 comment="GdYGaTc PBE-GGA relaxed" spacegroup=F-43m e_form_mev_per_atom=-216 pbc="T T T"
Gd 0.0000 0.0000 0.0000
Y 3.5203 3.5203 3.5203
Ga 5.2805 5.2805 5.2805
Tc 1.7602 1.7602 1.7602

=====

# 6
5
Lattice="5.0980 0.0000 0.0000 0.0000 5.0980 0.0000 0.0000 0.0000 5.0787" Properties=species:S:1:pos:R:3 comment="VSbTe2Ru PBE-GGA relaxed" spacegroup=P4/mmm raw_formation_energy_ev_per_atom=0.98 pbc="T T T"
V 0.0000 0.0000 0.0000
Sb 0.0000 0.0000 2.5393
Te 0.0000 2.5490 0.0000
Te 2.5490 0.0000 0.0000
Ru 2.5490 2.5490 2.5393

=====

# 7
4
Lattice="3.8441 0.0000 0.0000 0.0000 3.8816 0.0000 0.0000 0.0000 8.2157" Properties=species:S:1:pos:R:3 comment="ZnCrTe2 PBE-GGA relaxed" spacegroup=Pmmm raw_formation_energy_ev_per_atom=0.18 pbc="T T T"
Zn 0.0000 0.0000 0.0000
Cr 0.0000 1.9408 4.1079
Te 1.9221 0.0000 4.1079
Te 1.9221 1.9408 0.0000

=====

# 8
6
Lattice="0.0000 3.5640 3.5640 3.5640 0.0000 3.5640 3.5640 3.5640 0.0000" Properties=species:S:1:pos:R:3 comment="ErZrFe4 PBE-GGA relaxed" spacegroup=F-43m e_form_mev_per_atom=-208 pbc="T T T"
Er 0.0000 0.0000 0.0000
Zr 1.7820 1.7820 1.7820
Fe 4.4544 2.6736 2.6736
Fe 2.6736 4.4544 2.6736
Fe 2.6736 2.6736 4.4544
Fe 4.4544 4.4544 4.4544

=====

# 9
12
Lattice="3.7359 -6.4786 0.0000 3.7359 6.4786 0.0000 -2.5397 0.0000 7.1733" Properties=species:S:1:pos:R:3 comment="In6Hg3BiSe2 PBE-GGA relaxed" spacegroup=C2/m raw_formation_energy_ev_per_atom=-0.15 pbc="T T T"
In -0.1092 2.2864 5.4710
In 1.1217 0.0000 1.7522
In -0.1092 -2.2864 5.4710
In 5.0412 2.2864 1.7023
In 3.8104 0.0000 5.4211
In 5.0412 -2.2864 1.7023
Hg -1.2699 0.0000 3.5867
Hg 2.4660 2.1102 3.5867
Hg 2.4660 -2.1102 3.5867
Bi 3.7359 0.0000 0.0000
Se 3.7359 4.3694 0.0000
Se 3.7359 -4.3694 0.0000

=====

# 10
11
Lattice="6.5621 -1.8721 0.0000 6.5621 1.8721 0.0000 -0.8826 0.0000 6.4733" Properties=species:S:1:pos:R:3 comment="Ce2PuO8 PBE-GGA relaxed" spacegroup=C2/m raw_formation_energy_ev_per_atom=-2.62 pbc="T T T"
Ce 3.0367 0.0000 1.6789
Ce 9.2048 0.0000 4.7944
Pu 6.5621 0.0000 0.0000
O 0.7845 0.0000 0.8812
O 2.0186 0.0000 3.6992
O 3.3118 0.0000 6.0547
O 5.7476 0.0000 1.6129
O 6.4939 0.0000 4.8604
O 8.9297 0.0000 0.4186
O 10.2229 0.0000 2.7741
O 11.4571 0.0000 5.5921

=====

# 11
5
Lattice="5.8104 0.0000 0.0000 0.0000 5.8104 0.0000 0.0000 0.0000 6.5953" Properties=species:S:1:pos:R:3 comment="RbYCd2Bi PBE-GGA relaxed" spacegroup=P4/mmm e_form_mev_per_atom=738 pbc="T T T"
Rb 0.0000 0.0000 0.0000
Y 0.0000 0.0000 3.2976
Cd 0.0000 2.9052 3.2976
Cd 2.9052 0.0000 3.2976
Bi 2.9052 2.9052 0.0000

=====

# 12
6
Lattice="4.0833 0.0000 0.0000 0.0000 4.2073 0.0000 -0.0140 0.0000 7.8654" Properties=species:S:1:pos:R:3 comment="PrSiGe PBE-GGA relaxed" spacegroup=P2/m raw_formation_energy_ev_per_atom=-0.58 pbc="T T T"
Pr 1.0177 0.0000 1.8545
Pr 3.0516 0.0000 6.0109
Si 1.0078 2.1037 7.2520
Si 3.0615 2.1037 0.6134
Ge 1.0115 2.1037 4.7117
Ge 3.0578 2.1037 3.1537

=====

# 13
5
Lattice="5.6100 0.0000 0.0000 0.0000 5.6100 0.0000 0.0000 0.0000 5.6100" Properties=species:S:1:pos:R:3 comment="Na3CdFe PBE-GGA relaxed" spacegroup=Pm-3m e_form_mev_per_atom=771 pbc="T T T"
Na 0.0000 0.0000 2.8050
Na 0.0000 2.8050 0.0000
Na 2.8050 0.0000 0.0000
Cd 2.8050 2.8050 2.8050
Fe 0.0000 0.0000 0.0000

=====

| no. | mass density (g cm⁻³) | M_tot (μB per cell) |
| --- | --- | --- |
| 1 | 9.4 | 0.0 |
| 2 | 7.4 | 0.0 |
| 3 | 3.7 | 0.0 |
| 4 | 5.5 | 0.0 |
| 5 | 7.9 | 7.0 |
| 6 | 6.7 | 2.7 |
| 7 | 5.0 | 3.9 |
| 8 | 8.8 | 6.4 |
| 9 | 7.9 | 0.0 |
| 10 | 6.8 | 0.0 |
| 11 | 4.5 | 0.0 |
| 12 | 5.9 | 0.0 |
| 13 | 2.2 | 3.2 |